Entry 1:
DFT (PBE) results for an optimized crystal structure of Nd8TmTl2.

The crystal system is monoclinic. The total energy comes out at -4.33 eV/atom.

It has space group C2/m (No. 12), with a = 9.051 Å, b = 15.631 Å, c = 5.829 Å, α = 90.00°, β = 115.35° and γ = 90.00°. The inequivalent atoms are Nd at (0.000, 0.219, 0.000), Nd at (0.098, 0.500, 0.796), Nd at (0.205, 0.112, 0.615), Tm at (0.000, 0.000, 0.000) and Tl at (0.000, 0.306, 0.500).

---

Entry 2:
DFT (PBE) results for an optimized crystal structure of NdTm5Tl3.

The crystal system is hexagonal. The total energy comes out at -4.05 eV/atom.

It has space group P6_3/mcm (No. 193), with a = 9.3079 Å, b = 9.3079 Å, c = 6.6910 Å, α = 90.00°, β = 90.00° and γ = 120.00°. The inequivalent atoms are Nd at (0.0000, 0.0000, 0.0000), Tm at (0.0000, 0.3302, 0.2500), Tm at (0.3333, 0.6667, 0.0000) and Tl at (0.0000, 0.3408, 0.7500).

---

Entry 3:
DFT (PBE) results for an optimized crystal structure of Nd3TmTl3.

The crystal system is cubic. The total energy comes out at -3.96 eV/atom. For the energy above the most stable polymorph in this dataset, the calculation gives 0 meV/atom.

It has space group P2_13 (No. 198), with a = 9.530 Å, b = 9.530 Å, c = 9.530 Å, α = 90.00°, β = 90.00° and γ = 90.00°. The inequivalent atoms are Nd at (0.068, 0.432, 0.568), Nd at (0.172, 0.828, 0.328), Nd at (0.177, 0.177, 0.177), Tm at (0.076, 0.576, 0.924) and Tl at (0.003, 0.257, 0.867).